(1)
! PBE-GGA Y2AlRu, optimized geometry; values from VASP
! - Calculated total energy: -79.142 eV/cell
! - SG: R-3m (166)
&SYSTEM
  ibrav = 0, nat = 12, ntyp = 3
/
ATOMIC_SPECIES
Y 88.91 Y.upf
Al 26.98 Al.upf
Ru 101.07 Ru.upf
ATOMIC_POSITIONS crystal
Y 0.000 0.000 0.240
Y 0.000 0.000 0.760
Y 0.333 0.667 0.426
Y 0.333 0.667 0.907
Y 0.667 0.333 0.093
Y 0.667 0.333 0.574
Al 0.000 0.000 0.000
Al 0.333 0.667 0.667
Al 0.667 0.333 0.333
Ru 0.000 0.000 0.500
Ru 0.333 0.667 0.167
Ru 0.667 0.333 0.833
CELL_PARAMETERS angstrom
3.491 0.000 0.000
-1.746 3.023 0.000
0.000 0.000 26.692

(2)
! PBE-GGA YAlRu2, optimized geometry; values from VASP
! - Calculated total energy: -29.300 eV/cell
! - SG: Pm (6)
&SYSTEM
  ibrav = 0, nat = 4, ntyp = 3
/
ATOMIC_SPECIES
Y 88.91 Y.upf
Al 26.98 Al.upf
Ru 101.07 Ru.upf
ATOMIC_POSITIONS crystal
Y 0.000 0.000 0.000
Al 0.599 0.500 0.257
Ru 0.255 0.500 0.677
Ru 0.580 0.000 0.499
CELL_PARAMETERS angstrom
3.072 0.000 0.000
0.000 4.544 0.000
-1.216 0.000 4.984

(3)
! PBE-GGA YAl2Ru, optimized geometry; values from VASP
! - Calculated total energy: -71.245 eV/cell
! - SG: R-3m (166)
&SYSTEM
  ibrav = 0, nat = 12, ntyp = 3
/
ATOMIC_SPECIES
Y 88.91 Y.upf
Al 26.98 Al.upf
Ru 101.07 Ru.upf
ATOMIC_POSITIONS crystal
Y 0.000 0.000 0.000
Y 0.333 0.667 0.667
Y 0.667 0.333 0.333
Al 0.000 0.000 0.233
Al 0.000 0.000 0.767
Al 0.333 0.667 0.434
Al 0.333 0.667 0.900
Al 0.667 0.333 0.100
Al 0.667 0.333 0.566
Ru 0.000 0.000 0.500
Ru 0.333 0.667 0.167
Ru 0.667 0.333 0.833
CELL_PARAMETERS angstrom
3.232 0.000 0.000
-1.616 2.799 0.000
0.000 0.000 25.869

(4)
! PBE-GGA Y2Al6Ru, optimized geometry; values from VASP
! - Calculated total energy: -49.039 eV/cell
! - SG: P-3m1 (164)
&SYSTEM
  ibrav = 0, nat = 9, ntyp = 3
/
ATOMIC_SPECIES
Y 88.91 Y.upf
Al 26.98 Al.upf
Ru 101.07 Ru.upf
ATOMIC_POSITIONS crystal
Y 0.333 0.667 0.366
Y 0.667 0.333 0.634
Al 0.170 0.341 0.818
Al 0.170 0.830 0.818
Al 0.341 0.170 0.182
Al 0.659 0.830 0.818
Al 0.830 0.170 0.182
Al 0.830 0.659 0.182
Ru 0.000 0.000 0.500
CELL_PARAMETERS angstrom
5.756 0.000 0.000
-2.878 4.985 0.000
0.000 0.000 5.953

(5)
! PBE-GGA YAl2Ru, optimized geometry; values from VASP
! - Calculated total energy: -91.965 eV/cell
! - SG: I-42d (122)
&SYSTEM
  ibrav = 0, nat = 16, ntyp = 3
/
ATOMIC_SPECIES
Y 88.91 Y.upf
Al 26.98 Al.upf
Ru 101.07 Ru.upf
ATOMIC_POSITIONS crystal
Y 0.000 0.000 0.000
Y 0.000 0.500 0.250
Y 0.500 0.000 0.750
Y 0.500 0.500 0.500
Al 0.076 0.250 0.625
Al 0.250 0.576 0.875
Al 0.250 0.924 0.375
Al 0.424 0.250 0.125
Al 0.576 0.750 0.125
Al 0.750 0.076 0.375
Al 0.750 0.424 0.875
Al 0.924 0.750 0.625
Ru 0.000 0.000 0.500
Ru 0.000 0.500 0.750
Ru 0.500 0.000 0.250
Ru 0.500 0.500 0.000
CELL_PARAMETERS angstrom
4.716 0.000 0.000
0.000 4.716 0.000
0.000 0.000 16.743

(6)
! PBE-GGA YAlRu2, optimized geometry; values from VASP
! - Calculated total energy: -29.214 eV/cell
! - SG: Pmm2 (25)
&SYSTEM
  ibrav = 0, nat = 4, ntyp = 3
/
ATOMIC_SPECIES
Y 88.91 Y.upf
Al 26.98 Al.upf
Ru 101.07 Ru.upf
ATOMIC_POSITIONS crystal
Y 0.000 0.000 0.000
Al 0.500 0.500 0.318
Ru 0.000 0.000 0.510
Ru 0.500 0.500 0.744
CELL_PARAMETERS angstrom
2.982 0.000 0.000
0.000 4.032 0.000
0.000 0.000 5.736

(7)
! PBE-GGA YAl2Ru, optimized geometry; values from VASP
! - Calculated total energy: -24.948 eV/cell
! - SG: P4mm (99)
&SYSTEM
  ibrav = 0, nat = 4, ntyp = 3
/
ATOMIC_SPECIES
Y 88.91 Y.upf
Al 26.98 Al.upf
Ru 101.07 Ru.upf
ATOMIC_POSITIONS crystal
Y 0.000 0.000 0.000
Al 0.000 0.000 0.554
Al 0.500 0.500 0.324
Ru 0.500 0.500 0.717
CELL_PARAMETERS angstrom
3.278 0.000 0.000
0.000 3.278 0.000
0.000 0.000 6.845

(8)
! PBE-GGA YAlRu2, optimized geometry; values from VASP
! - Calculated total energy: -59.399 eV/cell
! - SG: C2/m (12)
&SYSTEM
  ibrav = 0, nat = 8, ntyp = 3
/
ATOMIC_SPECIES
Y 88.91 Y.upf
Al 26.98 Al.upf
Ru 101.07 Ru.upf
ATOMIC_POSITIONS crystal
Y 0.000 0.000 0.000
Y 0.500 0.500 0.000
Al 0.000 0.500 0.500
Al 0.500 0.000 0.500
Ru 0.233 0.000 0.693
Ru 0.267 0.500 0.307
Ru 0.733 0.500 0.693
Ru 0.767 0.000 0.307
CELL_PARAMETERS angstrom
8.597 0.000 0.000
0.000 3.158 0.000
-1.422 0.000 5.171

(9)
! PBE-GGA YAl2Ru, optimized geometry; values from VASP
! - Calculated total energy: -25.335 eV/cell
! - SG: P4/mmm (123)
&SYSTEM
  ibrav = 0, nat = 4, ntyp = 3
/
ATOMIC_SPECIES
Y 88.91 Y.upf
Al 26.98 Al.upf
Ru 101.07 Ru.upf
ATOMIC_POSITIONS crystal
Y 0.000 0.000 0.000
Al 0.500 0.500 0.313
Al 0.500 0.500 0.687
Ru 0.000 0.000 0.500
CELL_PARAMETERS angstrom
3.143 0.000 0.000
0.000 3.143 0.000
0.000 0.000 7.267

(10)
! PBE-GGA Y2AlRu, optimized geometry; values from VASP
! - Calculated total energy: -27.513 eV/cell
! - SG: Pm (6)
&SYSTEM
  ibrav = 0, nat = 4, ntyp = 3
/
ATOMIC_SPECIES
Y 88.91 Y.upf
Al 26.98 Al.upf
Ru 101.07 Ru.upf
ATOMIC_POSITIONS crystal
Y 0.000 0.000 0.000
Y 0.282 0.500 0.567
Al 0.579 0.500 0.160
Ru 0.705 0.000 0.412
CELL_PARAMETERS angstrom
4.019 0.000 0.000
0.000 4.240 0.000
-1.998 0.000 5.475

(11)
! PBE-GGA YAl3Ru, optimized geometry; values from VASP
! - SG: Pm-3m (221)
! - Offset from the most stable computed form: 0.255 eV/atom
&SYSTEM
  ibrav = 0, nat = 5, ntyp = 3
/
ATOMIC_SPECIES
Y 88.91 Y.upf
Al 26.98 Al.upf
Ru 101.07 Ru.upf
ATOMIC_POSITIONS crystal
Y 0.000 0.000 0.000
Al 0.000 0.500 0.500
Al 0.500 0.000 0.500
Al 0.500 0.500 0.000
Ru 0.500 0.500 0.500
CELL_PARAMETERS angstrom
4.669 0.000 0.000
0.000 4.669 0.000
0.000 0.000 4.669

(12)
! PBE-GGA YAl2Ru2, optimized geometry; values from VASP
! - SG: I4/mmm (139)
! - Offset from the most stable computed form: 0.052 eV/atom
&SYSTEM
  ibrav = 0, nat = 10, ntyp = 3
/
ATOMIC_SPECIES
Y 88.91 Y.upf
Al 26.98 Al.upf
Ru 101.07 Ru.upf
ATOMIC_POSITIONS crystal
Y 0.000 0.000 0.000
Y 0.500 0.500 0.500
Al 0.000 0.000 0.353
Al 0.000 0.000 0.647
Al 0.500 0.500 0.147
Al 0.500 0.500 0.853
Ru 0.000 0.500 0.250
Ru 0.000 0.500 0.750
Ru 0.500 0.000 0.250
Ru 0.500 0.000 0.750
CELL_PARAMETERS angstrom
4.493 0.000 0.000
0.000 4.493 0.000
0.000 0.000 9.050

(13)
! PBE-GGA YAl2Ru, optimized geometry; values from VASP
! - Calculated total energy: -48.858 eV/cell
! - SG: Immm (71)
&SYSTEM
  ibrav = 0, nat = 8, ntyp = 3
/
ATOMIC_SPECIES
Y 88.91 Y.upf
Al 26.98 Al.upf
Ru 101.07 Ru.upf
ATOMIC_POSITIONS crystal
Y 0.000 0.000 0.000
Y 0.500 0.500 0.500
Al 0.000 0.500 0.215
Al 0.000 0.500 0.785
Al 0.500 0.000 0.285
Al 0.500 0.000 0.715
Ru 0.000 0.000 0.500
Ru 0.500 0.500 0.000
CELL_PARAMETERS angstrom
3.191 0.000 0.000
0.000 4.951 0.000
0.000 0.000 9.507

(14)
! PBE-GGA Y2AlRu, optimized geometry; values from VASP
! - Calculated total energy: -27.227 eV/cell
! - SG: P4mm (99)
&SYSTEM
  ibrav = 0, nat = 4, ntyp = 3
/
ATOMIC_SPECIES
Y 88.91 Y.upf
Al 26.98 Al.upf
Ru 101.07 Ru.upf
ATOMIC_POSITIONS crystal
Y 0.000 0.000 0.000
Y 0.500 0.500 0.372
Al 0.000 0.000 0.632
Ru 0.500 0.500 0.775
CELL_PARAMETERS angstrom
3.314 0.000 0.000
0.000 3.314 0.000
0.000 0.000 8.173

(15)
! PBE-GGA YAl2Ru, optimized geometry; values from VASP
! - Calculated total energy: -47.677 eV/cell
! - SG: C2/m (12)
&SYSTEM
  ibrav = 0, nat = 8, ntyp = 3
/
ATOMIC_SPECIES
Y 88.91 Y.upf
Al 26.98 Al.upf
Ru 101.07 Ru.upf
ATOMIC_POSITIONS crystal
Y 0.000 0.000 0.000
Y 0.500 0.500 0.000
Al 0.250 0.250 0.500
Al 0.250 0.750 0.500
Al 0.750 0.250 0.500
Al 0.750 0.750 0.500
Ru 0.000 0.500 0.000
Ru 0.500 0.000 0.000
CELL_PARAMETERS angstrom
5.697 0.000 0.000
0.000 7.531 0.000
-0.009 0.000 3.376

(16)
! PBE-GGA YAlRu, optimized geometry; values from VASP
! - Calculated total energy: -41.891 eV/cell
! - SG: I4mm (107)
&SYSTEM
  ibrav = 0, nat = 6, ntyp = 3
/
ATOMIC_SPECIES
Y 88.91 Y.upf
Al 26.98 Al.upf
Ru 101.07 Ru.upf
ATOMIC_POSITIONS crystal
Y 0.000 0.000 0.000
Y 0.500 0.500 0.500
Al 0.000 0.000 0.712
Al 0.500 0.500 0.212
Ru 0.000 0.000 0.319
Ru 0.500 0.500 0.819
CELL_PARAMETERS angstrom
3.302 0.000 0.000
0.000 3.302 0.000
0.000 0.000 10.438

(17)
! PBE-GGA YAl2Ru, optimized geometry; values from VASP
! - Calculated total energy: -24.562 eV/cell
! - SG: P2/m (10)
&SYSTEM
  ibrav = 0, nat = 4, ntyp = 3
/
ATOMIC_SPECIES
Y 88.91 Y.upf
Al 26.98 Al.upf
Ru 101.07 Ru.upf
ATOMIC_POSITIONS crystal
Y 0.000 0.000 0.000
Al 0.351 0.500 0.709
Al 0.649 0.500 0.291
Ru 0.500 0.000 0.500
CELL_PARAMETERS angstrom
3.169 0.000 0.000
0.000 4.390 0.000
-1.346 0.000 5.353

(18)
! PBE-GGA YbAl10Ru2, optimized geometry; values from VASP
! - Calculated total energy: -127.804 eV/cell
! - SG: Cmcm (63)
&SYSTEM
  ibrav = 0, nat = 26, ntyp = 3
/
ATOMIC_SPECIES
Yb 173.04 Yb.upf
Al 26.98 Al.upf
Ru 101.07 Ru.upf
ATOMIC_POSITIONS crystal
Yb 0.123 0.877 0.750
Yb 0.877 0.123 0.250
Al 0.141 0.414 0.750
Al 0.156 0.844 0.099
Al 0.156 0.844 0.401
Al 0.220 0.477 0.250
Al 0.225 0.225 0.000
Al 0.225 0.225 0.500
Al 0.376 0.624 0.547
Al 0.376 0.624 0.953
Al 0.414 0.141 0.250
Al 0.477 0.220 0.750
Al 0.523 0.780 0.250
Al 0.586 0.859 0.750
Al 0.624 0.376 0.047
Al 0.624 0.376 0.453
Al 0.775 0.775 0.000
Al 0.775 0.775 0.500
Al 0.780 0.523 0.750
Al 0.844 0.156 0.599
Al 0.844 0.156 0.901
Al 0.859 0.586 0.250
Ru 0.000 0.500 0.000
Ru 0.000 0.500 0.500
Ru 0.500 0.000 0.000
Ru 0.500 0.000 0.500
CELL_PARAMETERS angstrom
4.549 -5.131 0.000
4.549 5.131 0.000
0.000 0.000 9.136

(19)
! PBE-GGA AlZnRu, optimized geometry; values from VASP
! - Calculated total energy: -14.992 eV/cell
! - SG: P3m1 (156)
&SYSTEM
  ibrav = 0, nat = 3, ntyp = 3
/
ATOMIC_SPECIES
Al 26.98 Al.upf
Zn 65.41 Zn.upf
Ru 101.07 Ru.upf
ATOMIC_POSITIONS crystal
Al 0.000 0.000 0.000
Zn 0.333 0.667 0.797
Ru 0.667 0.333 0.369
CELL_PARAMETERS angstrom
4.149 0.000 0.000
-2.074 3.593 0.000
0.000 0.000 2.828

(20)
! PBE-GGA AlZn2Ru, optimized geometry; values from VASP
! - Calculated total energy: -64.605 eV/cell
! - SG: F-43m (216)
&SYSTEM
  ibrav = 0, nat = 16, ntyp = 3
/
ATOMIC_SPECIES
Al 26.98 Al.upf
Zn 65.41 Zn.upf
Ru 101.07 Ru.upf
ATOMIC_POSITIONS crystal
Al 0.000 0.000 0.000
Al 0.000 0.500 0.500
Al 0.500 0.000 0.500
Al 0.500 0.500 0.000
Zn 0.000 0.000 0.500
Zn 0.000 0.500 0.000
Zn 0.250 0.250 0.250
Zn 0.250 0.750 0.750
Zn 0.500 0.000 0.000
Zn 0.500 0.500 0.500
Zn 0.750 0.250 0.750
Zn 0.750 0.750 0.250
Ru 0.250 0.250 0.750
Ru 0.250 0.750 0.250
Ru 0.750 0.250 0.250
Ru 0.750 0.750 0.750
CELL_PARAMETERS angstrom
6.081 0.000 0.000
0.000 6.081 0.000
0.000 0.000 6.081

(21)
! PBE-GGA AlZn4Ru, optimized geometry; values from VASP
! - Calculated total energy: -18.111 eV/cell
! - SG: F-43m (216)
&SYSTEM
  ibrav = 0, nat = 6, ntyp = 3
/
ATOMIC_SPECIES
Al 26.98 Al.upf
Zn 65.41 Zn.upf
Ru 101.07 Ru.upf
ATOMIC_POSITIONS crystal
Al 0.000 0.000 0.000
Zn 0.127 0.624 0.624
Zn 0.624 0.127 0.624
Zn 0.624 0.624 0.127
Zn 0.624 0.624 0.624
Ru 0.250 0.250 0.250
CELL_PARAMETERS angstrom
0.000 3.483 3.483
3.483 0.000 3.483
3.483 3.483 0.000

(22)
! PBE-GGA Al2ZnRu2, optimized geometry; values from VASP
! - SG: P4/mbm (127)
! - Offset from the most stable computed form: 0.072 eV/atom
&SYSTEM
  ibrav = 0, nat = 10, ntyp = 3
/
ATOMIC_SPECIES
Al 26.98 Al.upf
Zn 65.41 Zn.upf
Ru 101.07 Ru.upf
ATOMIC_POSITIONS crystal
Al 0.135 0.365 0.000
Al 0.365 0.865 0.000
Al 0.635 0.135 0.000
Al 0.865 0.635 0.000
Zn 0.000 0.000 0.000
Zn 0.500 0.500 0.000
Ru 0.162 0.662 0.500
Ru 0.338 0.162 0.500
Ru 0.662 0.838 0.500
Ru 0.838 0.338 0.500
CELL_PARAMETERS angstrom
6.834 0.000 0.000
0.000 6.834 0.000
0.000 0.000 3.066

(23)
! PBE-GGA AlZn2Ru, optimized geometry; values from VASP
! - Calculated total energy: -15.138 eV/cell
! - SG: P4/mmm (123)
&SYSTEM
  ibrav = 0, nat = 4, ntyp = 3
/
ATOMIC_SPECIES
Al 26.98 Al.upf
Zn 65.41 Zn.upf
Ru 101.07 Ru.upf
ATOMIC_POSITIONS crystal
Al 0.000 0.000 0.000
Zn 0.500 0.500 0.265
Zn 0.500 0.500 0.735
Ru 0.000 0.000 0.500
CELL_PARAMETERS angstrom
2.772 0.000 0.000
0.000 2.772 0.000
0.000 0.000 7.849

(24)
! PBE-GGA Al5ZnRu4, optimized geometry; values from VASP
! - Calculated total energy: -62.807 eV/cell
! - SG: P4/mmm (123)
&SYSTEM
  ibrav = 0, nat = 10, ntyp = 3
/
ATOMIC_SPECIES
Al 26.98 Al.upf
Zn 65.41 Zn.upf
Ru 101.07 Ru.upf
ATOMIC_POSITIONS crystal
Al 0.000 0.000 0.000
Al 0.000 0.000 0.200
Al 0.000 0.000 0.392
Al 0.000 0.000 0.608
Al 0.000 0.000 0.800
Zn 0.500 0.500 0.500
Ru 0.500 0.500 0.101
Ru 0.500 0.500 0.307
Ru 0.500 0.500 0.693
Ru 0.500 0.500 0.899
CELL_PARAMETERS angstrom
3.085 0.000 0.000
0.000 3.085 0.000
0.000 0.000 14.559

(25)
! PBE-GGA AlZn3Ru, optimized geometry; values from VASP
! - SG: Pm-3m (221)
! - Offset from the most stable computed form: 0.512 eV/atom
&SYSTEM
  ibrav = 0, nat = 5, ntyp = 3
/
ATOMIC_SPECIES
Al 26.98 Al.upf
Zn 65.41 Zn.upf
Ru 101.07 Ru.upf
ATOMIC_POSITIONS crystal
Al 0.000 0.000 0.000
Zn 0.000 0.000 0.500
Zn 0.000 0.500 0.000
Zn 0.500 0.000 0.000
Ru 0.500 0.500 0.500
CELL_PARAMETERS angstrom
4.615 0.000 0.000
0.000 4.615 0.000
0.000 0.000 4.615

(26)
! PBE-GGA AlZn2Ru, optimized geometry; values from VASP
! - Calculated total energy: -46.283 eV/cell
! - SG: R-3m (166)
&SYSTEM
  ibrav = 0, nat = 12, ntyp = 3
/
ATOMIC_SPECIES
Al 26.98 Al.upf
Zn 65.41 Zn.upf
Ru 101.07 Ru.upf
ATOMIC_POSITIONS crystal
Al 0.000 0.000 0.000
Al 0.333 0.667 0.667
Al 0.667 0.333 0.333
Zn 0.000 0.000 0.247
Zn 0.000 0.000 0.753
Zn 0.333 0.667 0.419
Zn 0.333 0.667 0.914
Zn 0.667 0.333 0.086
Zn 0.667 0.333 0.581
Ru 0.000 0.000 0.500
Ru 0.333 0.667 0.167
Ru 0.667 0.333 0.833
CELL_PARAMETERS angstrom
2.821 0.000 0.000
-1.411 2.443 0.000
0.000 0.000 25.840

(27)
! PBE-GGA AlZn2Ru, optimized geometry; values from VASP
! - Calculated total energy: -59.297 eV/cell
! - SG: I-42d (122)
&SYSTEM
  ibrav = 0, nat = 16, ntyp = 3
/
ATOMIC_SPECIES
Al 26.98 Al.upf
Zn 65.41 Zn.upf
Ru 101.07 Ru.upf
ATOMIC_POSITIONS crystal
Al 0.000 0.000 0.000
Al 0.000 0.500 0.250
Al 0.500 0.000 0.750
Al 0.500 0.500 0.500
Zn 0.244 0.750 0.625
Zn 0.250 0.244 0.375
Zn 0.250 0.256 0.875
Zn 0.256 0.750 0.125
Zn 0.744 0.250 0.125
Zn 0.750 0.744 0.875
Zn 0.750 0.756 0.375
Zn 0.756 0.250 0.625
Ru 0.000 0.000 0.500
Ru 0.000 0.500 0.750
Ru 0.500 0.000 0.250
Ru 0.500 0.500 0.000
CELL_PARAMETERS angstrom
7.041 0.000 0.000
0.000 7.041 0.000
0.000 0.000 5.054

(28)
! PBE-GGA AlZnRu3, optimized geometry; values from VASP
! - SG: Pm-3m (221)
! - Offset from the most stable computed form: 0.000 eV/atom
&SYSTEM
  ibrav = 0, nat = 5, ntyp = 3
/
ATOMIC_SPECIES
Al 26.98 Al.upf
Zn 65.41 Zn.upf
Ru 101.07 Ru.upf
ATOMIC_POSITIONS crystal
Al 0.000 0.000 0.000
Zn 0.500 0.500 0.500
Ru 0.000 0.000 0.500
Ru 0.000 0.500 0.000
Ru 0.500 0.000 0.000
CELL_PARAMETERS angstrom
4.430 0.000 0.000
0.000 4.430 0.000
0.000 0.000 4.430

| no. | density of states at the Fermi level (states/eV/f.u.) |
| --- | --- |
| 1 | 2.34 |
| 2 | 4.55 |
| 3 | 3.31 |
| 4 | 4.30 |
| 5 | 2.83 |
| 6 | 4.31 |
| 7 | 3.32 |
| 8 | 2.10 |
| 9 | 2.01 |
| 10 | 3.40 |
| 11 | 1.18 |
| 12 | 2.71 |
| 13 | 3.52 |
| 14 | 5.52 |
| 15 | 2.54 |
| 16 | 1.07 |
| 17 | 3.03 |
| 18 | 16.14 |
| 19 | 2.33 |
| 20 | 1.23 |
| 21 | 4.82 |
| 22 | 1.86 |
| 23 | 2.81 |
| 24 | 8.75 |
| 25 | 4.67 |
| 26 | 1.45 |
| 27 | 3.02 |
| 28 | 5.69 |